[1]
# Cr2PRu GGA-PBE relaxed
data_Cr2PRu
_cell_length_a 6.531
_cell_length_b 6.531
_cell_length_c 4.998
_cell_angle_alpha 90.00
_cell_angle_beta 90.00
_cell_angle_gamma 90.00
_symmetry_space_group_name_H-M 'I -4 2 d'
_symmetry_Int_Tables_number 122
_symmetry_space_group_name_Hall 'I -4 2bw'
loop_
_atom_site_label
_atom_site_fract_x
_atom_site_fract_y
_atom_site_fract_z
Cr1 0.215 0.250 0.125
P1 0.000 0.000 0.000
Ru1 0.000 0.000 0.500
# Fermi-level density of states = 1.693 states/eV/atom
# formation energy = 0.307 eV/atom
# total magnetization = 7.49 μB per cell
# uncorrected energy = -8.176 eV per atom

***

[2]
# Ba2ZnInNi GGA-PBE relaxed
data_Ba2ZnInNi
_cell_length_a 5.951
_cell_length_b 5.951
_cell_length_c 4.967
_cell_angle_alpha 90.00
_cell_angle_beta 90.00
_cell_angle_gamma 90.00
_symmetry_space_group_name_H-M 'P 4/m m m'
_symmetry_Int_Tables_number 123
_symmetry_space_group_name_Hall '-P 4 2'
loop_
_atom_site_label
_atom_site_fract_x
_atom_site_fract_y
_atom_site_fract_z
Ba1 0.000 0.500 0.000
Zn1 0.000 0.000 0.500
In1 0.500 0.500 0.500
Ni1 0.500 0.500 0.000
# Fermi-level density of states = 0.885 states/eV/atom
# formation energy = -0.094 eV/atom
# distance to the lowest polymorph of the same formula = 0.0034 eV per atom
# total magnetization = 0.00 μB per cell
# uncorrected energy = -2.822 eV per atom

***

[3]
# CaAgOs2 GGA-PBE relaxed
data_CaAgOs2
_cell_length_a 3.859
_cell_length_b 3.859
_cell_length_c 4.680
_cell_angle_alpha 90.00
_cell_angle_beta 90.00
_cell_angle_gamma 90.00
_symmetry_space_group_name_H-M 'P 4/m m m'
_symmetry_Int_Tables_number 123
_symmetry_space_group_name_Hall '-P 4 2'
loop_
_atom_site_label
_atom_site_fract_x
_atom_site_fract_y
_atom_site_fract_z
Ca1 0.000 0.000 0.000
Ag1 0.500 0.500 0.000
Os1 0.000 0.500 0.500
# Fermi-level density of states = 0.758 states/eV/atom
# formation energy = 0.674 eV/atom
# distance to the lowest polymorph of the same formula = 0.3456 eV per atom
# total magnetization = 0.00 μB per cell
# uncorrected energy = -6.154 eV per atom

***

[4]
# FePd2Rh GGA-PBE relaxed
data_FePd2Rh
_cell_length_a 2.749
_cell_length_b 2.749
_cell_length_c 7.621
_cell_angle_alpha 90.00
_cell_angle_beta 90.00
_cell_angle_gamma 90.00
_symmetry_space_group_name_H-M 'P 4 m m'
_symmetry_Int_Tables_number 99
loop_
_symmetry_equiv_pos_as_xyz
'x,y,z'
'-y,x,z'
'-x,-y,z'
'y,-x,z'
'-x,y,z'
'y,x,z'
'x,-y,z'
'-y,-x,z'
loop_
_atom_site_label
_atom_site_fract_x
_atom_site_fract_y
_atom_site_fract_z
Fe1 0.000 0.000 0.000
Pd1 0.000 0.000 0.509
Pd2 0.500 0.500 0.238
Rh1 0.500 0.500 0.774
# Fermi-level density of states = 1.684 states/eV/atom
# formation energy = -0.030 eV/atom
# distance to the lowest polymorph of the same formula = 0.0000 eV per atom
# total magnetization = 4.09 μB per cell
# uncorrected energy = -6.580 eV per atom

***

[5]
# TlGeSCl GGA-PBE relaxed
data_TlGeSCl
_cell_length_a 6.562
_cell_length_b 3.788
_cell_length_c 9.778
_cell_angle_alpha 90.00
_cell_angle_beta 90.16
_cell_angle_gamma 90.00
_symmetry_space_group_name_H-M 'C 1 m 1'
_symmetry_Int_Tables_number 8
loop_
_symmetry_equiv_pos_as_xyz
'x,y,z'
'x,-y,z'
'x+1/2,y+1/2,z'
'x+1/2,-y+1/2,z'
loop_
_atom_site_label
_atom_site_fract_x
_atom_site_fract_y
_atom_site_fract_z
Tl1 0.000 0.000 0.000
Ge1 0.333 0.000 0.544
S1 0.166 0.500 0.674
Cl1 0.334 0.000 0.191
# formation energy from raw total energies = -0.4698 eV/atom
# total magnetization = 0.00 μB per cell
# uncorrected energy = -3.709 eV per atom

***

[6]
# K2CoRh GGA-PBE relaxed
data_K2CoRh
_cell_length_a 4.031
_cell_length_b 4.031
_cell_length_c 10.636
_cell_angle_alpha 90.00
_cell_angle_beta 90.00
_cell_angle_gamma 90.00
_symmetry_space_group_name_H-M 'I 4/m m m'
_symmetry_Int_Tables_number 139
_symmetry_space_group_name_Hall '-I 4 2'
loop_
_atom_site_label
_atom_site_fract_x
_atom_site_fract_y
_atom_site_fract_z
K1 0.000 0.500 0.250
Co1 0.000 0.000 0.000
Rh1 0.000 0.000 0.500
# Fermi-level density of states = 0.919 states/eV/atom
# formation energy = 0.997 eV/atom
# distance to the lowest polymorph of the same formula = 0.5466 eV per atom
# total magnetization = 4.78 μB per cell
# uncorrected energy = -3.166 eV per atom

***

[7]
# Pr2GaSi3 GGA-PBE relaxed
data_Pr2GaSi3
_cell_length_a 4.111
_cell_length_b 4.245
_cell_length_c 7.353
_cell_angle_alpha 90.00
_cell_angle_beta 90.00
_cell_angle_gamma 90.00
_symmetry_space_group_name_H-M 'P m m 2'
_symmetry_Int_Tables_number 25
loop_
_symmetry_equiv_pos_as_xyz
'x,y,z'
'-x,-y,z'
'-x,y,z'
'x,-y,z'
loop_
_atom_site_label
_atom_site_fract_x
_atom_site_fract_y
_atom_site_fract_z
Pr1 0.000 0.000 0.000
Pr2 0.500 0.000 0.486
Ga1 0.000 0.500 0.660
Si1 0.000 0.500 0.326
Si2 0.500 0.500 0.161
Si3 0.500 0.500 0.834
# Fermi-level density of states = 0.522 states/eV/atom
# formation energy from raw total energies = -0.6221 eV/atom
# distance to the lowest polymorph of the same formula = 0.0000 eV per atom
# total magnetization = 0.00 μB per cell
# uncorrected energy = -5.431 eV per atom

***

[8]
# Er2Tm2Ni15 GGA-PBE relaxed
data_Er2Tm2Ni15
_cell_length_a 8.4702
_cell_length_b 8.4702
_cell_length_c 12.5772
_cell_angle_alpha 90.00
_cell_angle_beta 90.00
_cell_angle_gamma 120.00
_symmetry_space_group_name_H-M 'R -3 m'
_symmetry_Int_Tables_number 166
_symmetry_space_group_name_Hall '-R 3 2"'
loop_
_atom_site_label
_atom_site_fract_x
_atom_site_fract_y
_atom_site_fract_z
Er1 0.0000 0.0000 0.1387
Tm1 0.0000 0.0000 0.3891
Ni1 0.0000 0.3103 0.5000
Ni2 0.0000 0.5000 0.0000
Ni3 0.0108 0.5054 0.6564
# Fermi-level density of states = 1.357 states/eV/atom
# formation energy = -0.267 eV/atom
# total magnetization = 7.00 μB per cell
# uncorrected energy = -5.782 eV per atom